No. 1
Pm2Y5Tm6: relaxed, GGA-PBE.

```
Pm2Y5Tm6
1.0
-2.8426 -1.4421 -1.6066
0.5739 -9.1097 7.1613
-12.1663 9.4720 13.0241
Tm Y Pm
12 10 4
direct
0.5000 0.8229 0.3703 Tm
0.0000 0.5789 0.1341 Tm
0.0000 0.4388 0.5779 Tm
0.0000 0.0789 0.3659 Tm
0.0000 0.9388 0.9221 Tm
0.5000 0.3229 0.1297 Tm
0.0000 0.9211 0.6341 Tm
0.5000 0.1771 0.6297 Tm
0.0000 0.0612 0.0779 Tm
0.5000 0.6771 0.8703 Tm
0.0000 0.5612 0.4221 Tm
0.0000 0.4211 0.8659 Tm
0.5000 0.6991 0.5516 Y
0.5000 0.1991 0.9484 Y
0.5000 0.5903 0.2774 Y
0.5000 0.4097 0.7226 Y
0.5000 0.0903 0.2226 Y
0.5000 0.9097 0.7774 Y
0.5000 0.8009 0.0516 Y
0.5000 0.5000 0.0000 Y
0.5000 0.3009 0.4484 Y
0.5000 0.0000 0.5000 Y
0.0000 0.1685 0.7852 Pm
0.0000 0.8315 0.2148 Pm
0.0000 0.6685 0.7148 Pm
0.0000 0.3315 0.2852 Pm
```

E_form, kJ/mol of atoms: 10.06
Space-group type: Pbam

No. 2
BaSc2P: relaxed, GGA-PBE.

```
BaSc2P
1.0
-1.7523 2.9107 5.3866
1.7523 -2.9107 5.3866
1.7523 2.9107 -5.3866
Sc P Ba
2 1 1
direct
0.1796 0.1796 0.0000 Sc
0.8204 0.8204 0.0000 Sc
0.0000 0.5000 0.5000 P
0.5000 0.0000 0.5000 Ba
```

E_form, kJ/mol of atoms: -45.56
Space-group type: Immm

No. 3
FeOs2Se: relaxed, GGA-PBE.

```
FeOs2Se
1.0
3.8605 0.0000 0.0000
0.0000 2.8173 -0.0010
0.0000 1.4068 5.2693
Os Se Fe
2 1 1
direct
0.0000 0.0630 0.9992 Os
0.5000 0.4485 0.2277 Os
0.0000 0.2919 0.5418 Se
0.5000 0.6965 0.7314 Fe
```

Formation energy from raw total energies, eV/atom: 0.44
Space-group type: Amm2

No. 4
AcNd3Ho6: relaxed, GGA-PBE.

```
AcNd3Ho6
1.0
-4.4611 -4.7059 -1.2425
2.4730 0.1871 -9.5874
4.0018 -1.4837 8.7927
Ho Nd Ac
6 3 1
direct
0.9399 0.5582 0.3736 Ho
0.8636 0.1440 0.7272 Ho
0.1364 0.8560 0.2728 Ho
0.0601 0.4418 0.6264 Ho
0.5663 0.4418 0.6264 Ho
0.4337 0.5582 0.3736 Ho
0.5689 0.9443 0.1377 Nd
0.0000 0.0000 0.0000 Nd
0.4311 0.0557 0.8623 Nd
0.5000 0.5000 0.0000 Ac
```

E_form, kJ/mol of atoms: 22.73
Energy relative to the lowest polymorph listed for this composition, eV per atom: 0.101
Space-group type: C2/m

No. 5
LaSbTe2Pb: relaxed, GGA-PBE.

```
LaSbTe2Pb
1.0
-1.9749 -4.3598 -3.2281
-2.2276 -2.4805 4.7131
-4.8851 2.8225 -0.8234
Sb La Te Pb
1 1 2 1
direct
0.0000 0.0000 0.5000 Sb
0.5000 0.5000 0.5000 La
0.0000 0.5000 0.0000 Te
0.5000 0.0000 0.0000 Te
0.0000 0.0000 0.0000 Pb
```

Formation energy from raw total energies, eV/atom: -0.01
Energy relative to the lowest polymorph listed for this composition, eV per atom: 0.005
Space-group type: P4/mmm

No. 6
Be2BiIrO8: relaxed, GGA-PBE.

```
Be2BiIrO8
1.0
5.1591 0.0000 0.0000
-2.5795 4.4679 0.0000
0.0000 0.0000 6.3614
O Be Bi Ir
8 2 1 1
direct
0.1636 0.8364 0.8119 O
0.6728 0.8364 0.8119 O
0.8364 0.1636 0.1881 O
0.8364 0.6728 0.1881 O
0.3272 0.1636 0.1881 O
0.3333 0.6667 0.4804 O
0.6667 0.3333 0.5196 O
0.1636 0.3272 0.8119 O
0.6667 0.3333 0.2663 Be
0.3333 0.6667 0.7337 Be
0.0000 0.0000 0.5000 Bi
0.0000 0.0000 0.0000 Ir
```

Formation energy from raw total energies, eV/atom: -0.97
Space-group type: P-3m1

| no. | DOS(E_F) (states/eV/cell) | spin magnetization (μB per cell) |
| --- | --- | --- |
| 1 | 35.09 | 0.00 |
| 2 | 4.39 | 0.00 |
| 3 | 3.72 | 1.81 |
| 4 | 18.10 | 0.00 |
| 5 | 3.13 | 0.00 |
| 6 | 7.08 | 1.76 |